# 1
## BaYSe2O8 (PBE)

Data for a relaxed structure of BaYSe2O8.

The structure belongs to space group P-3 (No. 147); the cell edges are 5.7898, 5.7898 and 7.8021 Å and the angles 90.00°, 90.00° and 120.00°. The inequivalent atoms are Ba at (0.0000, 0.0000, 0.0000), Y at (0.0000, 0.0000, 0.5000), Se at (0.3333, 0.6667, 0.7570), O at (0.1636, 0.3304, 0.6972) and O at (0.3333, 0.6667, 0.9713).

The value obtained for the density is 3.75 g/cm3. The formation energy from raw total energies is -1651 meV per atom.

=====

# 2
## ZrTi2Ir (PBE)

Data for a relaxed structure of ZrTi2Ir.

The structure belongs to space group I-42d (No. 122); the cell edges are 7.4035, 7.4035 and 5.5659 Å and the angles 90.00°, 90.00° and 90.00°. The inequivalent atoms are Zr at (0.0000, 0.0000, 0.0000), Ti at (0.2030, 0.2500, 0.6250) and Ir at (0.0000, 0.0000, 0.5000).

The value obtained for the density is 8.26 g/cm3. The calculation puts the energy of formation at -164 meV/atom. As for the energy above the most stable polymorph in this dataset: 289.7 meV/atom.

=====

# 3
## Li2MnRu (PBE)

Data for a relaxed structure of Li2MnRu.

The structure belongs to space group P4/mmm (No. 123); the cell edges are 3.4956, 3.4956 and 4.4171 Å and the angles 90.00°, 90.00° and 90.00°. The inequivalent atoms are Li at (0.0000, 0.5000, 0.0000), Mn at (0.0000, 0.0000, 0.5000) and Ru at (0.5000, 0.5000, 0.5000).

The value obtained for the density is 5.23 g/cm3. The calculation puts the energy of formation at 252 meV/atom. As for the energy above the most stable polymorph in this dataset: 70.5 meV/atom.